! GGA-PBE Li4ErNp3Te8, relaxed; values from VASP
! space-group type	No. 166
! energy relative to the elements, uncorrected	-0.905	eV/atom
! N(E_F)	26.98	states/eV per cell
&SYSTEM
  ibrav = 0, nat = 16, ntyp = 4
/
ATOMIC_SPECIES
Np 237.00 Np.upf
Te 127.60 Te.upf
Li 6.94 Li.upf
Er 167.26 Er.upf
ATOMIC_POSITIONS crystal
Np 0.5000 0.5000 0.0000
Np 0.5000 0.5000 0.5000
Np 0.0000 0.5000 0.5000
Te 0.2499 0.7571 0.0071
Te 0.2427 0.2429 0.9929
Te 0.2499 0.7571 0.4997
Te 0.7526 0.7577 0.5051
Te 0.7501 0.2429 0.9929
Te 0.7573 0.7571 0.0071
Te 0.2474 0.2423 0.4949
Te 0.7501 0.2429 0.5003
Li 0.0000 0.0000 0.5000
Li 0.5000 0.0000 0.5000
Li 0.0000 0.0000 0.0000
Li 0.5000 0.0000 0.0000
Er 0.0000 0.5000 0.0000
CELL_PARAMETERS angstrom
-6.6150 -1.3400 -5.5480
5.3559 -4.1476 -5.3842
-0.7073 -2.5292 8.3336



! GGA-PBE LiErO2, relaxed; values from VASP
! space-group type	No. 166
! energy relative to the elements, uncorrected	-2.898	eV/atom
! N(E_F)	0.00	states/eV per cell
! excess energy over the best structure of this formula in the dataset	0.074	eV per atom
&SYSTEM
  ibrav = 0, nat = 4, ntyp = 3
/
ATOMIC_SPECIES
Er 167.26 Er.upf
O 16.00 O.upf
Li 6.94 Li.upf
ATOMIC_POSITIONS crystal
Er 0.5000 0.5000 0.5000
O 0.7552 0.7552 0.7343
O 0.2448 0.2448 0.2657
Li 0.0000 0.0000 0.0000
CELL_PARAMETERS angstrom
3.3347 0.0000 0.0000
1.6673 2.8879 0.0000
1.6673 0.9626 5.0466



! GGA-PBE Li5Er3O12, relaxed; values from VASP
! space-group type	No. 230
! energy relative to the elements, uncorrected	-1.700	eV/atom
! N(E_F)	34.97	states/eV per cell
&SYSTEM
  ibrav = 0, nat = 80, ntyp = 3
/
ATOMIC_SPECIES
Li 6.94 Li.upf
O 16.00 O.upf
Er 167.26 Er.upf
ATOMIC_POSITIONS crystal
Li 0.1250 0.3750 0.2500
Li 0.0000 0.0000 0.0000
Li 0.7500 0.6250 0.3750
Li 0.5000 0.5000 0.0000
Li 0.5000 0.5000 0.5000
Li 0.2500 0.8750 0.1250
Li 0.8750 0.2500 0.6250
Li 0.8750 0.6250 0.7500
Li 0.5000 0.0000 0.5000
Li 0.2500 0.3750 0.6250
Li 0.0000 0.5000 0.5000
Li 0.6250 0.8750 0.2500
Li 0.3750 0.1250 0.7500
Li 0.3750 0.2500 0.1250
Li 0.5000 0.0000 0.0000
Li 0.6250 0.7500 0.8750
Li 0.1250 0.7500 0.3750
Li 0.7500 0.1250 0.8750
Li 0.0000 0.5000 0.0000
Li 0.0000 0.0000 0.5000
O 0.9048 0.1063 0.8331
O 0.1669 0.7731 0.5717
O 0.4048 0.0717 0.2986
O 0.4283 0.7269 0.8331
O 0.3937 0.2269 0.2986
O 0.0717 0.4048 0.7986
O 0.1669 0.3937 0.0952
O 0.8331 0.2269 0.4283
O 0.7731 0.1669 0.0717
O 0.4283 0.7014 0.0952
O 0.7986 0.8937 0.2269
O 0.7986 0.9048 0.0717
O 0.6063 0.7731 0.7014
O 0.6669 0.5952 0.8937
O 0.8331 0.6063 0.9048
O 0.7014 0.4283 0.5952
O 0.1063 0.2014 0.2731
O 0.9283 0.3331 0.2269
O 0.2269 0.8331 0.9283
O 0.2014 0.1063 0.7731
O 0.3937 0.1669 0.5952
O 0.3331 0.4048 0.1063
O 0.2269 0.3937 0.7986
O 0.4048 0.3331 0.6063
O 0.6063 0.8331 0.4048
O 0.0952 0.2014 0.4283
O 0.7269 0.4283 0.3331
O 0.5952 0.6669 0.3937
O 0.5952 0.9283 0.7014
O 0.2731 0.5717 0.6669
O 0.5717 0.2986 0.9048
O 0.2014 0.0952 0.9283
O 0.9048 0.7986 0.5717
O 0.7014 0.2731 0.6063
O 0.0952 0.8937 0.1669
O 0.5717 0.2731 0.1669
O 0.2731 0.7014 0.1063
O 0.8937 0.0952 0.6669
O 0.2986 0.5717 0.4048
O 0.3331 0.9283 0.7269
O 0.1063 0.9048 0.3331
O 0.7731 0.6063 0.2014
O 0.2986 0.7269 0.3937
O 0.8937 0.7986 0.7269
O 0.6669 0.0717 0.2731
O 0.0717 0.6669 0.7731
O 0.7269 0.2986 0.8937
O 0.9283 0.5952 0.2014
Er 0.8750 0.7500 0.1250
Er 0.7500 0.8750 0.6250
Er 0.6250 0.3750 0.7500
Er 0.2500 0.6250 0.8750
Er 0.1250 0.2500 0.8750
Er 0.2500 0.1250 0.3750
Er 0.1250 0.8750 0.7500
Er 0.8750 0.1250 0.2500
Er 0.3750 0.7500 0.6250
Er 0.7500 0.3750 0.1250
Er 0.3750 0.6250 0.2500
Er 0.6250 0.2500 0.3750
CELL_PARAMETERS angstrom
-8.0158 -7.6957 0.9764
8.0503 -2.0510 7.4442
-4.3094 10.1163 1.8759



! GGA-PBE LiEr3O, relaxed; values from VASP
! space-group type	No. 221
! energy relative to the elements, uncorrected	-1.031	eV/atom
! N(E_F)	5.45	states/eV per cell
&SYSTEM
  ibrav = 0, nat = 5, ntyp = 3
/
ATOMIC_SPECIES
Er 167.26 Er.upf
O 16.00 O.upf
Li 6.94 Li.upf
ATOMIC_POSITIONS crystal
Er 0.0000 0.5000 0.0000
Er 0.0000 0.0000 0.5000
Er 0.5000 0.0000 0.0000
O 0.0000 0.0000 0.0000
Li 0.5000 0.5000 0.5000
CELL_PARAMETERS angstrom
4.7550 0.0000 0.0000
0.0000 4.7550 0.0000
0.0000 0.0000 4.7550



! GGA-PBE LiErO2, relaxed; values from VASP
! space-group type	No. 14
! energy relative to the elements, uncorrected	-2.972	eV/atom
! N(E_F)	0.00	states/eV per cell
! excess energy over the best structure of this formula in the dataset	0.000	eV per atom
&SYSTEM
  ibrav = 0, nat = 16, ntyp = 3
/
ATOMIC_SPECIES
O 16.00 O.upf
Er 167.26 Er.upf
Li 6.94 Li.upf
ATOMIC_POSITIONS crystal
O 0.3894 0.5446 0.2654
O 0.3359 0.0040 0.6667
O 0.8894 0.4554 0.2346
O 0.1641 0.0040 0.1667
O 0.8359 0.9960 0.8333
O 0.6641 0.9960 0.3333
O 0.1106 0.5446 0.7654
O 0.6106 0.4554 0.7346
Er 0.8707 0.2364 0.0173
Er 0.3707 0.7636 0.4827
Er 0.1293 0.7636 0.9827
Er 0.6293 0.2364 0.5173
Li 0.3493 0.2838 0.9474
Li 0.1507 0.2838 0.4474
Li 0.6507 0.7162 0.0526
Li 0.8493 0.7162 0.5526
CELL_PARAMETERS angstrom
-2.1395 1.7430 5.5121
5.2327 -1.8577 2.6184
4.6947 4.0173 0.5519



! GGA-PBE LiErO2, relaxed; values from VASP
! space-group type	No. 141
! energy relative to the elements, uncorrected	-2.969	eV/atom
! N(E_F)	0.00	states/eV per cell
! excess energy over the best structure of this formula in the dataset	0.003	eV per atom
&SYSTEM
  ibrav = 0, nat = 8, ntyp = 3
/
ATOMIC_SPECIES
Li 6.94 Li.upf
O 16.00 O.upf
Er 167.26 Er.upf
ATOMIC_POSITIONS crystal
Li 0.5000 0.5000 0.0000
Li 0.2500 0.7500 0.5000
O 0.9710 0.4710 0.5000
O 0.5290 0.0290 0.5000
O 0.2210 0.2210 0.0000
O 0.7790 0.7790 0.0000
Er 0.0000 0.0000 0.0000
Er 0.7500 0.2500 0.5000
CELL_PARAMETERS angstrom
6.0585 0.0307 0.0000
2.8205 5.3620 0.0000
-4.4395 -2.6964 3.1188